Computed, not measured: a relaxed structure of Ac4Tb at the PBE-GGA level of DFT.

Cell lengths 6.254, 6.254, 6.254 Å; angles 90.00, 90.00, 90.00 degrees
Space group Pm-3m (No. 221)
Asymmetric unit:
Ac (0.000, 0.000, 0.000)
Ac (0.000, 0.500, 0.500)
Tb (0.500, 0.500, 0.500)

Calculated values
Energy of formation from the pure elements in eV per atom: 0.54
Crystal system: cubic
ρ in Mg/m³: 7.2

---

Computed, not measured: a relaxed structure of AcTb5 at the PBE-GGA level of DFT.

Cell lengths 11.477, 5.128, 7.265 Å; angles 90.00, 108.22, 90.00 degrees
Space group C2/m (No. 12)
Asymmetric unit:
Ac (0.000, 0.000, 0.000)
Tb (0.000, 0.000, 0.500)
Tb (0.166, 0.500, 0.828)
Tb (0.171, 0.500, 0.340)

Calculated values
Energy of formation from the pure elements in eV per atom: 0.04
Crystal system: monoclinic
ρ in Mg/m³: 8.4

---

Computed, not measured: a relaxed structure of Ac3Tb13 at the PBE-GGA level of DFT.

Cell lengths 7.422, 11.633, 12.783 Å; angles 90.00, 90.00, 90.00 degrees
Space group Amm2 (No. 38)
Asymmetric unit:
Ac (0.000, 0.000, 0.000)
Ac (0.253, 0.000, 0.743)
Tb (0.000, 0.000, 0.491)
Tb (0.000, 0.247, 0.166)
Tb (0.251, 0.000, 0.250)
Tb (0.253, 0.244, 0.414)
Tb (0.500, 0.000, 0.491)
Tb (0.500, 0.000, 0.999)
Tb (0.500, 0.241, 0.163)

Calculated values
Energy of formation from the pure elements in eV per atom: 0.05
Crystal system: orthorhombic
ρ in Mg/m³: 8.3

---

Computed, not measured: a relaxed structure of Ac3Tb at the PBE-GGA level of DFT.

Cell lengths 5.512, 5.512, 10.940 Å; angles 90.00, 90.00, 90.00 degrees
Space group I4/mmm (No. 139)
Asymmetric unit:
Ac (0.000, 0.000, 0.000)
Ac (0.000, 0.500, 0.250)
Tb (0.000, 0.000, 0.500)

Calculated values
Energy of formation from the pure elements in eV per atom: 0.05
Crystal system: tetragonal
ρ in Mg/m³: 8.4

---

Computed, not measured: a relaxed structure of Ac5Tb3 at the PBE-GGA level of DFT.

Cell lengths 3.890, 3.890, 21.046 Å; angles 90.00, 90.00, 90.00 degrees
Space group P4/mmm (No. 123)
Asymmetric unit:
Ac (0.000, 0.000, 0.000)
Ac (0.000, 0.000, 0.241)
Ac (0.500, 0.500, 0.378)
Tb (0.000, 0.000, 0.500)
Tb (0.500, 0.500, 0.119)

Calculated values
Energy of formation from the pure elements in eV per atom: 0.05
Crystal system: tetragonal
ρ in Mg/m³: 8.4

---

Computed, not measured: a relaxed structure of Ac3Tb at the PBE-GGA level of DFT.

Cell lengths 7.8489, 7.8489, 6.2749 Å; angles 90.00, 90.00, 120.00 degrees
Space group P6_3/mmc (No. 194)
Asymmetric unit:
Ac (0.1695, 0.3391, 0.2500)
Tb (0.3333, 0.6667, 0.7500)

Calculated values
Energy of formation from the pure elements in eV per atom: 0.05
Crystal system: hexagonal
ρ in Mg/m³: 8.3

---

The records above give, respectively, M_tot values of 0.0; 0.0; 0.0; 0.0; 0.0; 0.0 Bohr magnetons per cell.